No. 1
CsScOs | PBE | relaxed

The structure in CIF format:
```
data_CsScOs
_chemical_formula_sum 'Cs1 Sc1 Os1'
_space_group_name_H-M_alt 'P 1'
_space_group_IT_number 1
_cell_length_a 4.712
_cell_length_b 4.712
_cell_length_c 4.712
_cell_angle_alpha 60.00
_cell_angle_beta 60.00
_cell_angle_gamma 60.00
loop_
_space_group_symop_operation_xyz
'x,y,z'
loop_
_atom_site_label
_atom_site_type_symbol
_atom_site_fract_x
_atom_site_fract_y
_atom_site_fract_z
Cs1 Cs 0.000 0.000 0.000
Os1 Os 0.250 0.250 0.250
Sc1 Sc 0.750 0.750 0.750
```

**VASP energy**: -4.016 eV/atom
**M_tot**: 0.002 μB per formula unit
**Symmetry**: F-43m, No. 216

---

No. 2
ZrFeCuSn | PBE | relaxed

The structure in CIF format:
```
data_ZrFeCuSn
_chemical_formula_sum 'Zr1 Fe1 Cu1 Sn1'
_space_group_name_H-M_alt 'P 1'
_space_group_IT_number 1
_cell_length_a 4.519
_cell_length_b 4.519
_cell_length_c 4.519
_cell_angle_alpha 60.00
_cell_angle_beta 60.00
_cell_angle_gamma 60.00
loop_
_space_group_symop_operation_xyz
'x,y,z'
loop_
_atom_site_label
_atom_site_type_symbol
_atom_site_fract_x
_atom_site_fract_y
_atom_site_fract_z
Cu1 Cu 0.750 0.750 0.750
Sn1 Sn 0.000 0.000 0.000
Zr1 Zr 0.500 0.500 0.500
Fe1 Fe 0.250 0.250 0.250
```

**VASP energy**: -6.314 eV/atom
**M_tot**: 1.290 μB per formula unit
**Symmetry**: F-43m, No. 216

---

No. 3
GdHfPa | PBE | relaxed

The structure in CIF format:
```
data_GdHfPa
_chemical_formula_sum 'Gd1 Hf1 Pa1'
_space_group_name_H-M_alt 'P 1'
_space_group_IT_number 1
_cell_length_a 5.026
_cell_length_b 5.026
_cell_length_c 5.026
_cell_angle_alpha 60.00
_cell_angle_beta 60.00
_cell_angle_gamma 60.00
loop_
_space_group_symop_operation_xyz
'x,y,z'
loop_
_atom_site_label
_atom_site_type_symbol
_atom_site_fract_x
_atom_site_fract_y
_atom_site_fract_z
Gd1 Gd 0.250 0.250 0.250
Pa1 Pa 0.750 0.750 0.750
Hf1 Hf 0.000 0.000 0.000
```

**DFT formation energy**: 0.92 eV per atom
**M_tot**: 1.170 μB per formula unit
**Symmetry**: F-43m, No. 216

---

No. 4
Er3InC | PBE | relaxed

The structure in CIF format:
```
data_Er3InC
_chemical_formula_sum 'Er3 In1 C1'
_space_group_name_H-M_alt 'P 1'
_space_group_IT_number 1
_cell_length_a 4.862
_cell_length_b 4.862
_cell_length_c 4.862
_cell_angle_alpha 90.00
_cell_angle_beta 90.00
_cell_angle_gamma 90.00
loop_
_space_group_symop_operation_xyz
'x,y,z'
loop_
_atom_site_label
_atom_site_type_symbol
_atom_site_fract_x
_atom_site_fract_y
_atom_site_fract_z
Er1 Er 0.500 0.000 0.000
Er2 Er 0.000 0.000 0.500
C1 C 0.000 0.000 0.000
In1 In 0.500 0.500 0.500
Er3 Er 0.000 0.500 0.000
```

**VASP energy**: -5.670 eV/atom
**M_tot**: 0.000 μB per formula unit
**Symmetry**: Pm-3m, No. 221

---

No. 5
Pr2Fe | PBE | relaxed

The structure in CIF format:
```
data_Pr2Fe
_chemical_formula_sum 'Pr4 Fe2'
_space_group_name_H-M_alt 'P 1'
_space_group_IT_number 1
_cell_length_a 6.164
_cell_length_b 6.164
_cell_length_c 6.164
_cell_angle_alpha 60.00
_cell_angle_beta 60.00
_cell_angle_gamma 60.00
loop_
_space_group_symop_operation_xyz
'x,y,z'
loop_
_atom_site_label
_atom_site_type_symbol
_atom_site_fract_x
_atom_site_fract_y
_atom_site_fract_z
Pr1 Pr 0.625 0.625 0.125
Pr2 Pr 0.625 0.125 0.625
Fe1 Fe 0.000 0.000 0.000
Fe2 Fe 0.250 0.250 0.250
Pr3 Pr 0.125 0.625 0.625
Pr4 Pr 0.625 0.625 0.625
```

**DFT formation energy**: 1.47 eV per atom
**M_tot**: 0.000 μB per formula unit
**Symmetry**: Fd-3m, No. 227

---

No. 6
SmAuSe2 | PBE | relaxed

The structure in CIF format:
```
data_SmAuSe2
_chemical_formula_sum 'Sm4 Au4 Se8'
_space_group_name_H-M_alt 'P 1'
_space_group_IT_number 1
_cell_length_a 6.381
_cell_length_b 7.421
_cell_length_c 7.971
_cell_angle_alpha 90.00
_cell_angle_beta 91.29
_cell_angle_gamma 90.00
loop_
_space_group_symop_operation_xyz
'x,y,z'
loop_
_atom_site_label
_atom_site_type_symbol
_atom_site_fract_x
_atom_site_fract_y
_atom_site_fract_z
Sm1 Sm 0.824 0.538 0.246
Se1 Se 0.070 0.752 0.000
Sm2 Sm 0.176 0.462 0.754
Au1 Au 0.506 0.245 0.001
Au2 Au 0.494 0.745 0.499
Se2 Se 0.371 0.078 0.746
Au3 Au 0.506 0.255 0.501
Se3 Se 0.629 0.922 0.254
Se4 Se 0.629 0.578 0.754
Sm3 Sm 0.176 0.038 0.254
Se5 Se 0.930 0.248 0.000
Se6 Se 0.070 0.748 0.500
Sm4 Sm 0.824 0.962 0.746
Au4 Au 0.494 0.755 0.999
Se7 Se 0.371 0.422 0.246
Se8 Se 0.930 0.252 0.500
```

**VASP energy**: -4.904 eV/atom
**M_tot**: 0.004 μB per formula unit
**Symmetry**: P2_1/c, No. 14

---

No. 7
RbHg3OsS4 | PBE | relaxed

The structure in CIF format:
```
data_RbHg3OsS4
_chemical_formula_sum 'Rb1 Hg3 Os1 S4'
_space_group_name_H-M_alt 'P 1'
_space_group_IT_number 1
_cell_length_a 7.391
_cell_length_b 7.391
_cell_length_c 7.391
_cell_angle_alpha 90.00
_cell_angle_beta 90.00
_cell_angle_gamma 90.00
loop_
_space_group_symop_operation_xyz
'x,y,z'
loop_
_atom_site_label
_atom_site_type_symbol
_atom_site_fract_x
_atom_site_fract_y
_atom_site_fract_z
S1 S 0.330 0.330 0.330
S2 S 0.330 0.670 0.670
Os1 Os 0.500 0.500 0.500
S3 S 0.670 0.670 0.330
Hg1 Hg 0.000 0.500 0.500
Rb1 Rb 0.000 0.000 0.000
S4 S 0.670 0.330 0.670
Hg2 Hg 0.500 0.000 0.500
Hg3 Hg 0.500 0.500 0.000
```

**VASP energy**: -3.407 eV/atom
**M_tot**: 0.003 μB per formula unit
**Symmetry**: P-43m, No. 215

---

No. 8
SmYIr2C2N2 | PBE | relaxed

The structure in CIF format:
```
data_SmYIr2C2N2
_chemical_formula_sum 'Sm1 Y1 Ir2 C2 N2'
_space_group_name_H-M_alt 'P 1'
_space_group_IT_number 1
_cell_length_a 3.746
_cell_length_b 3.746
_cell_length_c 7.374
_cell_angle_alpha 90.00
_cell_angle_beta 90.00
_cell_angle_gamma 90.00
loop_
_space_group_symop_operation_xyz
'x,y,z'
loop_
_atom_site_label
_atom_site_type_symbol
_atom_site_fract_x
_atom_site_fract_y
_atom_site_fract_z
Y1 Y 0.500 0.500 0.833
Ir1 Ir 0.500 0.000 0.503
C1 C 0.000 0.000 0.657
N1 N 0.000 0.000 0.846
N2 N 0.500 0.500 0.151
Ir2 Ir 0.000 0.500 0.503
Sm1 Sm 0.000 0.000 0.168
C2 C 0.500 0.500 0.339
```

**VASP energy**: -8.493 eV/atom
**M_tot**: 0.002 μB per formula unit
**Symmetry**: P4mm, No. 99

---

No. 9
Cu3Te2S6Cl2 | PBE | relaxed

The structure in CIF format:
```
data_Cu3Te2S6Cl2
_chemical_formula_sum 'Cu3 Te2 S6 Cl2'
_space_group_name_H-M_alt 'P 1'
_space_group_IT_number 1
_cell_length_a 6.482
_cell_length_b 6.482
_cell_length_c 7.969
_cell_angle_alpha 100.23
_cell_angle_beta 100.23
_cell_angle_gamma 70.28
loop_
_space_group_symop_operation_xyz
'x,y,z'
loop_
_atom_site_label
_atom_site_type_symbol
_atom_site_fract_x
_atom_site_fract_y
_atom_site_fract_z
Te1 Te 0.343 0.343 0.336
S1 S 0.314 0.700 0.779
Cl1 Cl 0.173 0.173 0.615
Cu1 Cu 0.500 0.500 0.000
Cl2 Cl 0.827 0.827 0.385
S2 S 0.686 0.300 0.221
Cu2 Cu 0.022 0.022 0.771
Te2 Te 0.657 0.657 0.664
S3 S 0.156 0.156 0.109
S4 S 0.844 0.844 0.891
S5 S 0.700 0.314 0.779
Cu3 Cu 0.978 0.978 0.229
S6 S 0.300 0.686 0.221
```

**VASP energy**: -3.608 eV/atom
**Symmetry**: C2/m, No. 12

---

No. 10
Li2Sc2InGePd2 | PBE | relaxed

The structure in CIF format:
```
data_Li2Sc2InGePd2
_chemical_formula_sum 'Li2 Sc2 In1 Ge1 Pd2'
_space_group_name_H-M_alt 'P 1'
_space_group_IT_number 1
_cell_length_a 4.522
_cell_length_b 4.522
_cell_length_c 6.498
_cell_angle_alpha 90.00
_cell_angle_beta 90.00
_cell_angle_gamma 90.00
loop_
_space_group_symop_operation_xyz
'x,y,z'
loop_
_atom_site_label
_atom_site_type_symbol
_atom_site_fract_x
_atom_site_fract_y
_atom_site_fract_z
Sc1 Sc 0.500 0.500 0.000
Li1 Li 0.000 0.500 0.736
Pd1 Pd 0.000 0.500 0.263
Ge1 Ge 0.500 0.500 0.500
In1 In 0.000 0.000 0.000
Li2 Li 0.500 0.000 0.264
Sc2 Sc 0.000 0.000 0.500
Pd2 Pd 0.500 0.000 0.737
```

**VASP energy**: -4.962 eV/atom
**M_tot**: 0.007 μB per formula unit
**Symmetry**: P-4m2, No. 115